*1*
# Tl5HgAu2 | Alexandria via LeMat-Bulk | GGA-PBE | optimized geometry
# N(E_F)	6.49	states/eV per cell
# crystal system	orthorhombic
# size of the total moment	0.0	μB per formula unit
data_Tl5HgAu2
_space_group_name_H-M_alt 'I m m m'
_space_group_IT_number 71
_space_group_name_Hall '-I 2 2'
_cell_length_a 3.5389
_cell_length_b 8.2727
_cell_length_c 15.2522
_cell_angle_alpha 90.00
_cell_angle_beta 90.00
_cell_angle_gamma 90.00
loop_
_atom_site_label
_atom_site_type_symbol
_atom_site_fract_x
_atom_site_fract_y
_atom_site_fract_z
Tl1 Tl 0.0000 0.0000 0.0000
Tl2 Tl 0.0000 0.2298 0.3604
Hg1 Hg 0.0000 0.5000 0.0000
Au1 Au 0.0000 0.0000 0.2116


*2*
# Tl5HgAu2 | Alexandria via LeMat-Bulk | GGA-PBE | optimized geometry
# N(E_F)	10.88	states/eV per cell
# crystal system	tetragonal
# size of the total moment	0.0	μB per formula unit
data_Tl5HgAu2
_space_group_name_H-M_alt 'I 4/m c m'
_space_group_IT_number 140
_space_group_name_Hall '-I 4 2c'
_cell_length_a 8.1043
_cell_length_b 8.1043
_cell_length_c 13.4319
_cell_angle_alpha 90.00
_cell_angle_beta 90.00
_cell_angle_gamma 90.00
loop_
_atom_site_label
_atom_site_type_symbol
_atom_site_fract_x
_atom_site_fract_y
_atom_site_fract_z
Tl1 Tl 0.0000 0.0000 0.0000
Tl2 Tl 0.1600 0.3400 0.1453
Hg1 Hg 0.0000 0.0000 0.2500
Au1 Au 0.1361 0.3639 0.5000


Pick *2*: it beats the second-best structure by 26 meV/atom.